[1]
## Li4Ag3 (meta-GGA SCAN)

Data for a crystal of Li4Ag3 relaxed with PBEsol.

Structure (POSCAR):
```
Li4Ag3
1.0
5.394 0.000 0.000
-2.697 4.671 0.000
0.000 0.000 4.893
Li Ag
4 3
direct
0.000 0.000 0.241
0.000 0.000 0.759
0.333 0.667 0.500
0.667 0.333 0.500
0.000 0.500 0.000
0.500 0.000 0.000
0.500 0.500 0.000
```

**Theoretical density**: 4.7 g cm⁻³
**Space group**: P6/mmm, No. 191
**Uncorrected energy**: -104.6 eV for the cell shown

---

[2]
## InCuOs2 (meta-GGA SCAN)

Data for a crystal of InCuOs2 relaxed with PBEsol.

Structure (POSCAR):
```
InCuOs2
1.0
2.822 0.000 0.000
0.000 2.822 0.000
0.000 0.000 7.457
In Cu Os
1 1 2
direct
0.000 0.000 0.000
0.500 0.500 0.743
0.000 0.000 0.503
0.500 0.500 0.282
```

**Theoretical density**: 15.6 g cm⁻³
**Space group**: P4mm, No. 99
**Uncorrected energy**: -191.3 eV for the cell shown

---

[3]
## Ba2BeSi (meta-GGA SCAN)

Data for a crystal of Ba2BeSi relaxed with PBEsol.

Structure (POSCAR):
```
Ba2BeSi
1.0
7.628 0.000 0.000
0.000 7.628 0.000
0.000 0.000 7.628
Ba Be Si
8 4 4
direct
0.000 0.000 0.000
0.000 0.500 0.500
0.250 0.250 0.250
0.250 0.750 0.750
0.500 0.000 0.500
0.500 0.500 0.000
0.750 0.250 0.750
0.750 0.750 0.250
0.250 0.250 0.750
0.250 0.750 0.250
0.750 0.250 0.250
0.750 0.750 0.750
0.000 0.000 0.500
0.000 0.500 0.000
0.500 0.000 0.000
0.500 0.500 0.500
```

**Theoretical density**: 4.7 g cm⁻³
**Space group**: F-43m, No. 216
**Formation energy without anion corrections**: 2.34 eV per formula unit
**Uncorrected energy**: -364.5 eV for the cell shown

---

[4]
## CaCo2Br (meta-GGA SCAN)

Data for a crystal of CaCo2Br relaxed with PBEsol.

Structure (POSCAR):
```
CaCo2Br
1.0
3.499 0.000 0.000
0.000 5.262 0.000
0.000 0.000 8.164
Ca Co Br
2 4 2
direct
0.000 0.000 0.000
0.500 0.500 0.500
0.000 0.000 0.480
0.000 0.500 0.818
0.500 0.000 0.318
0.500 0.500 0.980
0.000 0.500 0.197
0.500 0.000 0.697
```

**Theoretical density**: 5.3 g cm⁻³
**Space group**: Imm2, No. 44
**Formation energy without anion corrections**: 0.93 eV per formula unit
**Uncorrected energy**: -125.6 eV for the cell shown

---

[5]
## BaAg4 (meta-GGA SCAN)

Data for a crystal of BaAg4 relaxed with PBEsol.

Structure (POSCAR):
```
BaAg4
1.0
-4.893 4.893 4.893
4.893 -4.893 4.893
4.893 4.893 -4.893
Ba Ag
4 16
direct
0.000 0.000 0.437
0.000 0.437 0.000
0.437 0.000 0.000
0.563 0.563 0.563
0.000 0.000 0.800
0.000 0.358 0.358
0.000 0.642 0.642
0.000 0.800 0.000
0.200 0.200 0.200
0.250 0.500 0.750
0.250 0.750 0.500
0.358 0.000 0.358
0.358 0.358 0.000
0.500 0.250 0.750
0.500 0.750 0.250
0.642 0.000 0.642
0.642 0.642 0.000
0.750 0.250 0.500
0.750 0.500 0.250
0.800 0.000 0.000
```

**Theoretical density**: 8.1 g cm⁻³
**Space group**: I-43m, No. 217
**Uncorrected energy**: -662.3 eV for the cell shown

---

[6]
## Ta2PIr (meta-GGA SCAN)

Data for a crystal of Ta2PIr relaxed with PBEsol.

Structure (POSCAR):
```
Ta2PIr
1.0
4.651 0.000 0.000
0.000 4.651 0.000
0.000 0.000 2.840
Ta P Ir
2 1 1
direct
0.000 0.500 0.000
0.500 0.000 0.000
0.000 0.000 0.500
0.500 0.500 0.500
```

**Theoretical density**: 15.8 g cm⁻³
**Space group**: P4/mmm, No. 123
**Uncorrected energy**: -216.0 eV for the cell shown